No. 1
Hg3Au: optimized geometry, PBEsol.

a b c (Å): 3.220 5.066 5.449
angles (deg): 90.00 101.93 90.00
Atoms (fractional coordinates):
Hg (0.000, 0.000, 0.000)
Hg (0.311, 0.500, 0.740)
Hg (0.689, 0.500, 0.260)
Au (0.000, 0.000, 0.500)

Computed properties:
Relative energy among the computed polymorphs   0.046 eV per atom
ΔH_f (0 K)   74 meV per atom
DOS at the Fermi energy   1.2 states/eV/cell
Calculated density   15.3 Mg/m³

No. 2
InSbTe: optimized geometry, PBEsol.

a b c (Å): 4.228 4.228 5.530
angles (deg): 90.00 90.00 120.00
Atoms (fractional coordinates):
In (0.000, 0.000, 0.000)
Sb (0.333, 0.667, 0.691)
Te (0.667, 0.333, 0.326)

Computed properties:
Relative energy among the computed polymorphs   0.000 eV per atom
DOS at the Fermi energy   1.7 states/eV/cell
Calculated density   7.1 Mg/m³
Formation energy (no corrections)   -0.03 eV/atom

No. 3
NdP2Pd2: optimized geometry, PBEsol.

a b c (Å): 4.101 4.101 9.864
angles (deg): 90.00 90.00 90.00
Atoms (fractional coordinates):
Nd (0.000, 0.000, 0.000)
Nd (0.500, 0.500, 0.500)
P (0.000, 0.000, 0.387)
P (0.000, 0.000, 0.613)
P (0.500, 0.500, 0.113)
P (0.500, 0.500, 0.887)
Pd (0.000, 0.500, 0.250)
Pd (0.000, 0.500, 0.750)
Pd (0.500, 0.000, 0.250)
Pd (0.500, 0.000, 0.750)

Computed properties:
ΔH_f (0 K)   -1038 meV per atom
DOS at the Fermi energy   2.9 states/eV/cell
Calculated density   8.4 Mg/m³

No. 4
CoP2PbCl: optimized geometry, PBEsol.

a b c (Å): 5.130 5.130 5.216
angles (deg): 90.00 90.00 90.00
Atoms (fractional coordinates):
Co (0.000, 0.000, 0.000)
P (0.000, 0.500, 0.500)
P (0.500, 0.000, 0.500)
Pb (0.500, 0.500, 0.500)
Cl (0.500, 0.500, 0.000)

Computed properties:
DOS at the Fermi energy   3.2 states/eV/cell
Calculated density   4.4 Mg/m³
Formation energy (no corrections)   1.51 eV/atom